1.
# K3Sb5S12 PBE optimized geometry
data_K3Sb5S12
_cell_length_a 16.5869
_cell_length_b 16.5869
_cell_length_c 16.5869
_cell_angle_alpha 90.00
_cell_angle_beta 90.00
_cell_angle_gamma 90.00
_space_group_name_H-M_alt 'I a -3 d'
_space_group_IT_number 230
_space_group_name_Hall '-I 4bd 2c 3'
loop_
_atom_site_label
_atom_site_fract_x
_atom_site_fract_y
_atom_site_fract_z
K1 0.0000 0.2500 0.1250
Sb1 0.0000 0.0000 0.0000
Sb2 0.0000 0.2500 0.3750
S1 0.0352 0.0562 0.6515
# - Raw total energy: -4.052 eV per atom
# - V: 28.5 Å³ per atom


2.
# Ti6CoNi2 PBE optimized geometry
data_Ti6CoNi2
_cell_length_a 7.9679
_cell_length_b 8.0981
_cell_length_c 8.3643
_cell_angle_alpha 90.00
_cell_angle_beta 90.00
_cell_angle_gamma 90.00
_space_group_name_H-M_alt 'I m m m'
_space_group_IT_number 71
_space_group_name_Hall '-I 2 2'
loop_
_atom_site_label
_atom_site_fract_x
_atom_site_fract_y
_atom_site_fract_z
Ti1 0.0000 0.1764 0.2255
Ti2 0.1839 0.5000 0.2204
Ti3 0.1909 0.2500 0.5000
Co1 0.0000 0.0000 0.5000
Co2 0.0000 0.5000 0.5000
Ni1 0.0000 0.3554 0.0000
Ni2 0.1479 0.0000 0.0000
# - Raw total energy: -7.559 eV per atom
# - Formation energy: -222 meV/atom
# - Excess energy over the best structure of this formula in the dataset: 0.0 meV/atom
# - V: 15.0 Å³ per atom


3.
# YZrPb2 PBE optimized geometry
data_YZrPb2
_cell_length_a 7.4997
_cell_length_b 7.4997
_cell_length_c 7.4997
_cell_angle_alpha 90.00
_cell_angle_beta 90.00
_cell_angle_gamma 90.00
_space_group_name_H-M_alt 'F m -3 m'
_space_group_IT_number 225
_space_group_name_Hall '-F 4 2 3'
loop_
_atom_site_label
_atom_site_fract_x
_atom_site_fract_y
_atom_site_fract_z
Y1 0.0000 0.0000 0.0000
Zr1 0.0000 0.0000 0.5000
Pb1 0.2500 0.2500 0.2500
# - Raw total energy: -5.762 eV per atom
# - Formation energy: -155 meV/atom
# - V: 26.4 Å³ per atom


4.
# TaFe2Se PBE optimized geometry
data_TaFe2Se
_cell_length_a 3.3256
_cell_length_b 4.5849
_cell_length_c 8.0086
_cell_angle_alpha 90.00
_cell_angle_beta 90.00
_cell_angle_gamma 90.00
_space_group_name_H-M_alt 'C m m m'
_space_group_IT_number 65
_space_group_name_Hall '-C 2 2'
loop_
_atom_site_label
_atom_site_fract_x
_atom_site_fract_y
_atom_site_fract_z
Ta1 0.0000 0.0000 0.0000
Fe1 0.0000 0.5000 0.2558
Se1 0.0000 0.0000 0.5000
# - Raw total energy: -7.803 eV per atom
# - V: 15.3 Å³ per atom


5.
# K2H6I PBE optimized geometry
data_K2H6I
_cell_length_a 16.7387
_cell_length_b 4.7529
_cell_length_c 5.1352
_cell_angle_alpha 90.00
_cell_angle_beta 99.92
_cell_angle_gamma 90.00
_space_group_name_H-M_alt 'C 1 m 1'
_space_group_IT_number 8
_space_group_name_Hall 'C -2y'
loop_
_atom_site_label
_atom_site_fract_x
_atom_site_fract_y
_atom_site_fract_z
K1 0.0000 0.0000 0.0000
K2 0.2407 0.5000 0.3692
H1 0.1248 0.2309 0.6085
H2 0.1361 0.2603 0.7604
H3 0.3199 0.4204 0.9097
I1 0.4051 0.0000 0.4683
# - Raw total energy: -2.936 eV per atom
# - Excess energy over the best structure of this formula in the dataset: 0.0 meV/atom
# - V: 22.4 Å³ per atom


6.
# Sm2AgIr PBE optimized geometry
data_Sm2AgIr
_cell_length_a 3.5606
_cell_length_b 3.5606
_cell_length_c 7.4595
_cell_angle_alpha 90.00
_cell_angle_beta 90.00
_cell_angle_gamma 90.00
_space_group_name_H-M_alt 'P 4/m m m'
_space_group_IT_number 123
_space_group_name_Hall '-P 4 2'
loop_
_atom_site_label
_atom_site_fract_x
_atom_site_fract_y
_atom_site_fract_z
Sm1 0.0000 0.0000 0.2249
Ag1 0.5000 0.5000 0.5000
Ir1 0.5000 0.5000 0.0000
# - Raw total energy: -5.787 eV per atom
# - Formation energy: -499 meV/atom
# - Excess energy over the best structure of this formula in the dataset: 6.0 meV/atom
# - V: 23.6 Å³ per atom


Question: What is the raw total energy in the fourth record?
Answer: -7.803 eV per atom


Question: The highest V belongs to which entry?
Answer: K3Sb5S12


Copy entry 2 word for word.
# Ti6CoNi2 PBE optimized geometry
data_Ti6CoNi2
_cell_length_a 7.9679
_cell_length_b 8.0981
_cell_length_c 8.3643
_cell_angle_alpha 90.00
_cell_angle_beta 90.00
_cell_angle_gamma 90.00
_space_group_name_H-M_alt 'I m m m'
_space_group_IT_number 71
_space_group_name_Hall '-I 2 2'
loop_
_atom_site_label
_atom_site_fract_x
_atom_site_fract_y
_atom_site_fract_z
Ti1 0.0000 0.1764 0.2255
Ti2 0.1839 0.5000 0.2204
Ti3 0.1909 0.2500 0.5000
Co1 0.0000 0.0000 0.5000
Co2 0.0000 0.5000 0.5000
Ni1 0.0000 0.3554 0.0000
Ni2 0.1479 0.0000 0.0000
# - Raw total energy: -7.559 eV per atom
# - Formation energy: -222 meV/atom
# - Excess energy over the best structure of this formula in the dataset: 0.0 meV/atom
# - V: 15.0 Å³ per atom